Record 1
Nd6Bi3C: optimized geometry, PBE.

Magnetization = 0.011 μB/cell
Energy of formation = -5.491 eV per formula unit
Theoretical density = 8.0 Mg/m³
Volume = 31.220 A^3/atom

Structure (POSCAR):
```
Nd6Bi3C
1.0
6.807 0.000 0.000
0.000 8.466 0.000
-6.554 0.000 10.835
Nd Bi C
12 6 2
Cartesian
-0.840 0.361 2.436
-4.117 3.872 7.854
0.878 6.118 0.586
-2.399 6.581 6.003
2.232 1.288 0.536
-1.045 2.946 5.953
1.298 5.521 4.882
-1.979 7.179 10.300
2.652 1.885 4.832
-0.625 2.348 10.249
4.370 4.594 2.981
1.093 8.105 8.399
-2.703 0.917 8.064
0.574 3.316 2.647
0.127 0.000 5.418
3.403 4.233 0.000
-0.321 5.150 8.188
2.956 7.549 2.771
0.000 0.000 0.000
-3.277 4.233 5.418
```

Record 2
Nd4Bi2C: optimized geometry, PBE.

Magnetization = 0.000 μB/cell
Energy of formation = -4.108 eV per formula unit
Theoretical density = 7.9 Mg/m³
Volume = 30.264 A^3/atom

Structure (POSCAR):
```
Nd4Bi2C
1.0
-2.527 2.527 8.294
2.527 -2.527 8.294
2.527 2.527 -8.294
Nd Bi C
4 2 1
Cartesian
2.527 0.000 0.000
0.000 0.000 2.578
0.000 2.527 0.000
0.000 0.000 14.010
0.000 0.000 5.927
0.000 0.000 10.660
0.000 0.000 0.000
```

Record 3
Nd7Bi2C2: optimized geometry, PBE.

Magnetization = 0.000 μB/cell
Energy of formation = -1.156 eV per formula unit
Theoretical density = 7.7 Mg/m³
Volume = 28.311 A^3/atom

Structure (POSCAR):
```
Nd7Bi2C2
1.0
4.095 -5.450 0.000
4.095 5.450 0.000
0.000 0.000 6.978
Nd Bi C
7 2 2
Cartesian
0.000 0.000 0.000
2.047 2.725 1.635
2.047 2.725 5.343
2.047 -2.725 1.635
2.047 -2.725 5.343
4.095 0.000 1.446
4.095 0.000 5.532
1.600 0.000 3.489
6.589 0.000 3.489
4.095 2.696 0.000
4.095 -2.696 0.000
```

Record 4
Nd3BiC: optimized geometry, PBE.

Magnetization = 0.000 μB/cell
Energy of formation = -2.216 eV per formula unit
Theoretical density = 8.1 Mg/m³
Volume = 26.962 A^3/atom

Structure (POSCAR):
```
Nd3BiC
1.0
5.128 0.000 0.000
0.000 5.128 0.000
0.000 0.000 5.128
Nd Bi C
3 1 1
Cartesian
0.000 0.000 2.564
0.000 2.564 0.000
2.564 0.000 0.000
2.564 2.564 2.564
0.000 0.000 0.000
```

- Which formula does entry 2 have?
  Nd4Bi2C

- Among the records above, which one has the lowest volume?
  Nd3BiC

- Among the records above, which one has the highest theoretical density?
  Nd3BiC

- The highest volume belongs to which entry?
  Nd6Bi3C